--- P ---
DFT (PBE) results for a relaxed structure of In3SnBi.

Calculated volume ... 28.8 Å³ per atom
Space-group type ... P2_1/m
DOS at the Fermi energy ... 2.19 states/eV/f.u.

Lattice parameters (Å, degrees): 4.9346 5.0567 11.8099 90.00 77.42 90.00
Positions (direct):
In: 0.5487 0.2500 0.9010
In: 0.4513 0.7500 0.0990
In: 0.8423 0.7500 0.3063
In: 0.1577 0.2500 0.6937
In: 0.3500 0.2500 0.3090
In: 0.6500 0.7500 0.6910
Sn: 0.2522 0.7500 0.4799
Sn: 0.7478 0.2500 0.5201
Bi: 0.9487 0.2500 0.1239
Bi: 0.0513 0.7500 0.8761

--- Q ---
DFT (PBE) results for a relaxed structure of In3SnBi.

Calculated volume ... 35.3 Å³ per atom
Space-group type ... Pm-3m
DOS at the Fermi energy ... 2.75 states/eV/f.u.

Lattice parameters (Å, degrees): 5.6118 5.6118 5.6118 90.00 90.00 90.00
Positions (direct):
In: 0.0000 0.5000 0.0000
In: 0.0000 0.0000 0.5000
In: 0.5000 0.0000 0.0000
Bi: 0.5000 0.5000 0.5000
Sn: 0.0000 0.0000 0.0000

Name the most stable of them. P.

--- P ---
DFT (PBE) results for a relaxed structure of InSn3Bi.

Calculated volume ... 41.7 Å³ per atom
Space-group type ... Pm-3m
DOS at the Fermi energy ... 4.38 states/eV/f.u.

Lattice parameters (Å, degrees): 5.9299 5.9299 5.9299 90.00 90.00 90.00
Positions (direct):
In: 0.5000 0.5000 0.5000
Bi: 0.0000 0.0000 0.0000
Sn: 0.0000 0.5000 0.0000
Sn: 0.0000 0.0000 0.5000
Sn: 0.5000 0.0000 0.0000

--- Q ---
DFT (PBE) results for a relaxed structure of InSn3Bi.

Calculated volume ... 35.1 Å³ per atom
Space-group type ... Pm-3m
DOS at the Fermi energy ... 2.76 states/eV/f.u.

Lattice parameters (Å, degrees): 5.5967 5.5967 5.5967 90.00 90.00 90.00
Positions (direct):
In: 0.0000 0.0000 0.0000
Bi: 0.5000 0.5000 0.5000
Sn: 0.0000 0.5000 0.0000
Sn: 0.0000 0.0000 0.5000
Sn: 0.5000 0.0000 0.0000

Name the most stable of them. Q.

--- P ---
DFT (PBE) results for a relaxed structure of In12Sn6Bi.

Calculated volume ... 29.2 Å³ per atom
Space-group type ... R-3
DOS at the Fermi energy ... 9.85 states/eV/f.u.

Lattice parameters (Å, degrees): 8.2378 8.2378 8.2378 85.58 85.58 85.58
Positions (direct):
In: 0.5748 0.2062 0.4643
In: 0.2062 0.4643 0.5748
In: 0.4643 0.5748 0.2062
In: 0.4252 0.7938 0.5357
In: 0.7938 0.5357 0.4252
In: 0.5357 0.4252 0.7938
In: 0.8475 0.8957 0.5920
In: 0.4080 0.1525 0.1043
In: 0.1043 0.4080 0.1525
In: 0.1525 0.1043 0.4080
In: 0.5920 0.8475 0.8957
In: 0.8957 0.5920 0.8475
Sn: 0.3118 0.1026 0.7541
Sn: 0.8974 0.2459 0.6882
Sn: 0.2459 0.6882 0.8974
Sn: 0.6882 0.8974 0.2459
Sn: 0.1026 0.7541 0.3118
Sn: 0.7541 0.3118 0.1026
Bi: 0.0000 0.0000 0.0000

--- Q ---
DFT (PBE) results for a relaxed structure of In12Sn6Bi.

Calculated volume ... 29.6 Å³ per atom
Space-group type ... R-3m
DOS at the Fermi energy ... 8.07 states/eV/f.u.

Lattice parameters (Å, degrees): 8.8152 8.8152 8.8152 107.46 107.46 107.46
Positions (direct):
In: 0.8852 0.1148 0.5000
In: 0.9127 0.6651 0.6651
In: 0.6651 0.6651 0.9127
In: 0.3349 0.0873 0.3349
In: 0.3349 0.3349 0.0873
In: 0.0873 0.3349 0.3349
In: 0.1148 0.5000 0.8852
In: 0.5000 0.8852 0.1148
In: 0.1148 0.8852 0.5000
In: 0.8852 0.5000 0.1148
In: 0.5000 0.1148 0.8852
In: 0.6651 0.9127 0.6651
Sn: 0.6927 0.3078 0.3078
Sn: 0.3078 0.3078 0.6927
Sn: 0.3078 0.6927 0.3078
Sn: 0.6922 0.6922 0.3073
Sn: 0.3073 0.6922 0.6922
Sn: 0.6922 0.3073 0.6922
Bi: 0.0000 0.0000 0.0000

Name the most stable of them. Q.